# Cr3RhO GGA+U relaxed
# E above lowest polymorph = 1478.7 meV per atom
data_Cr3RhO
_cell_length_a 4.845
_cell_length_b 4.845
_cell_length_c 4.845
_cell_angle_alpha 90.00
_cell_angle_beta 90.00
_cell_angle_gamma 90.00
_symmetry_space_group_name_H-M 'P m -3 m'
_symmetry_Int_Tables_number 221
_symmetry_space_group_name_Hall '-P 4 2 3'
loop_
_atom_site_label
_atom_site_type_symbol
_atom_site_fract_x
_atom_site_fract_y
_atom_site_fract_z
_atom_site_occupancy
Cr1 Cr 0.000 0.000 0.500 1
Rh1 Rh 0.000 0.000 0.000 1
O1 O 0.500 0.500 0.500 1